1.
# Cd3AuCl (PBE-GGA, optimized geometry)
data_Cd3AuCl
_space_group_name_H-M_alt 'P 1'
_space_group_IT_number 1
_space_group_name_Hall 'P 1'
_cell_length_a 5.357
_cell_length_b 5.357
_cell_length_c 5.357
_cell_angle_alpha 90.00
_cell_angle_beta 90.00
_cell_angle_gamma 90.00
loop_
_atom_site_label
_atom_site_fract_x
_atom_site_fract_y
_atom_site_fract_z
_atom_site_occupancy
Cl1 0.000 0.000 0.000 1
Cd1 0.000 0.500 0.000 1
Cd2 0.500 0.000 0.000 1
Cd3 0.000 0.000 0.500 1
Au1 0.500 0.500 0.500 1
# ΔE to the lowest computed polymorph, eV per atom: 0.664
# Space-group type: Pm-3m, No. 221

---

2.
# CdAu4Cl (PBE-GGA, optimized geometry)
data_CdAu4Cl
_space_group_name_H-M_alt 'P 1'
_space_group_IT_number 1
_space_group_name_Hall 'P 1'
_cell_length_a 5.596
_cell_length_b 5.596
_cell_length_c 5.596
_cell_angle_alpha 60.00
_cell_angle_beta 60.00
_cell_angle_gamma 60.00
loop_
_atom_site_label
_atom_site_fract_x
_atom_site_fract_y
_atom_site_fract_z
_atom_site_occupancy
Au1 0.875 0.375 0.375 1
Au2 0.375 0.375 0.875 1
Au3 0.375 0.375 0.375 1
Au4 0.375 0.875 0.375 1
Cl1 0.000 0.000 0.000 1
Cd1 0.750 0.750 0.750 1
# Space-group type: F-43m, No. 216

---

3.
# Cd2AuCl (PBE-GGA, optimized geometry)
data_Cd2AuCl
_space_group_name_H-M_alt 'P 1'
_space_group_IT_number 1
_space_group_name_Hall 'P 1'
_cell_length_a 8.206
_cell_length_b 8.206
_cell_length_c 3.508
_cell_angle_alpha 90.01
_cell_angle_beta 90.01
_cell_angle_gamma 23.55
loop_
_atom_site_label
_atom_site_fract_x
_atom_site_fract_y
_atom_site_fract_z
_atom_site_occupancy
Cd1 0.080 0.080 0.500 1
Cd2 0.286 0.286 0.500 1
Au1 0.686 0.686 0.000 1
Cl1 0.448 0.448 0.500 1
# ΔE to the lowest computed polymorph, eV per atom: 0.000
# Space-group type: Amm2, No. 38

---

4.
# Cd2AuCl (PBE-GGA, optimized geometry)
data_Cd2AuCl
_space_group_name_H-M_alt 'P 1'
_space_group_IT_number 1
_space_group_name_Hall 'P 1'
_cell_length_a 3.239
_cell_length_b 3.423
_cell_length_c 7.776
_cell_angle_alpha 90.00
_cell_angle_beta 90.00
_cell_angle_gamma 90.00
loop_
_atom_site_label
_atom_site_fract_x
_atom_site_fract_y
_atom_site_fract_z
_atom_site_occupancy
Cd1 0.000 0.000 0.976 1
Cd2 0.000 0.000 0.524 1
Cl1 0.500 0.500 0.250 1
Au1 0.500 0.500 0.750 1
# ΔE to the lowest computed polymorph, eV per atom: 0.088
# Space-group type: Pmmm, No. 47

---

5.
# CdAu3Cl (PBE-GGA, optimized geometry)
data_CdAu3Cl
_space_group_name_H-M_alt 'P 1'
_space_group_IT_number 1
_space_group_name_Hall 'P 1'
_cell_length_a 5.035
_cell_length_b 5.035
_cell_length_c 5.035
_cell_angle_alpha 90.00
_cell_angle_beta 90.00
_cell_angle_gamma 90.00
loop_
_atom_site_label
_atom_site_fract_x
_atom_site_fract_y
_atom_site_fract_z
_atom_site_occupancy
Cd1 0.500 0.500 0.500 1
Au1 0.000 0.000 0.500 1
Au2 0.000 0.500 0.000 1
Au3 0.500 0.000 0.000 1
Cl1 0.000 0.000 0.000 1
# ΔE to the lowest computed polymorph, eV per atom: 0.034
# Space-group type: Pm-3m, No. 221

---

6.
# Cd2AuCl (PBE-GGA, optimized geometry)
data_Cd2AuCl
_space_group_name_H-M_alt 'P 1'
_space_group_IT_number 1
_space_group_name_Hall 'P 1'
_cell_length_a 5.632
_cell_length_b 5.632
_cell_length_c 5.632
_cell_angle_alpha 143.08
_cell_angle_beta 111.84
_cell_angle_gamma 80.12
loop_
_atom_site_label
_atom_site_fract_x
_atom_site_fract_y
_atom_site_fract_z
_atom_site_occupancy
Au1 0.750 0.250 0.500 1
Cl1 0.250 0.750 0.500 1
Cd1 0.503 0.503 0.000 1
Cd2 0.997 0.997 0.000 1
# ΔE to the lowest computed polymorph, eV per atom: 0.159
# Space-group type: Immm, No. 71

---

The raw total energy results, record by record, are as follows: -5.43, -15.84, -8.42, -8.07, -8.96, -7.78 eV/cell.
The raw formation energy results, record by record, are as follows: 0.488, 0.006, -0.366, -0.278, 0.727, -0.207 eV per atom.